# PmSm2Tm3

A relaxed structure of PmSm2Tm3 (PBE-GGA, the Alexandria database).

Calculated values
DFT total energy ... -4.48 eV/atom
Crystal system ... monoclinic
Formation energy from the elements ... 0.75 eV/f.u.

Cell lengths 3.4929, 10.2256, 11.7019 Å; angles 108.28, 98.58, 90.00 degrees
Fractional positions:
Tm 0.4416 0.5552 0.8833
Sm 0.9324 0.8621 0.8647
Tm 0.0692 0.7596 0.1385
Tm 0.5584 0.4448 0.1167
Pm 0.6871 0.0377 0.3741
Tm 0.3054 0.2855 0.6108
Tm 0.6946 0.7145 0.3892
Sm 0.6909 0.3729 0.3818
Sm 0.0676 0.1379 0.1353
Sm 0.3091 0.6271 0.6182
Pm 0.3129 0.9623 0.6259
Tm 0.9308 0.2404 0.8615